Record 1
PBE-GGA K4NiSe, relaxed; SG = F-43m, No. 216; E_form (uncorrected) = 0.451 eV/atom; E_tot = -1.825 eV per atom
1.0
0.000 4.740 4.740
4.740 0.000 4.740
4.740 4.740 0.000
K Se Ni
4 1 1
Direct
0.374 0.374 0.374
0.374 0.879 0.374
0.879 0.374 0.374
0.374 0.374 0.879
0.000 0.000 0.000
0.750 0.750 0.750



Record 2
PBE-GGA KNi3Se3, relaxed; SG = Pm-3n, No. 223; E_form (uncorrected) = -0.428 eV/atom; E_tot = -4.556 eV per atom; offset from the most stable computed form = 73.8 meV per atom
1.0
-1.401 5.219 3.825
-5.578 -2.958 1.993
3.280 -2.801 5.023
Se Ni K
6 6 2
Direct
0.250 0.500 0.000
0.000 0.750 0.500
0.500 0.000 0.250
0.000 0.250 0.500
0.750 0.500 0.000
0.500 0.000 0.750
0.000 0.500 0.250
0.500 0.750 0.000
0.500 0.250 0.000
0.000 0.500 0.750
0.750 0.000 0.500
0.250 0.000 0.500
0.500 0.500 0.500
0.000 0.000 0.000



Record 3
PBE-GGA KNiSe2, relaxed; SG = I-4m2, No. 119; E_form (uncorrected) = 0.259 eV/atom; E_tot = -3.203 eV per atom
1.0
5.716 0.000 0.000
2.673 5.053 0.000
-4.194 -2.526 2.949
Se Ni K
2 1 1
Direct
0.250 0.750 0.500
0.000 0.000 0.000
0.750 0.250 0.500
0.500 0.500 0.000



Record 4
PBE-GGA KNiSe2, relaxed; SG = Imm2, No. 44; E_form (uncorrected) = -0.270 eV/atom; E_tot = -3.732 eV per atom
1.0
8.057 0.169 -0.022
6.472 4.803 0.022
-7.109 -2.940 2.401
Se K Ni
2 1 1
Direct
0.770 0.270 0.500
0.085 0.085 0.000
0.445 0.445 0.000
0.201 0.701 0.500



Record 5
PBE-GGA KNi3Se, relaxed; SG = Pm-3m, No. 221; E_form (uncorrected) = 1.947 eV/atom; E_tot = -2.438 eV per atom; offset from the most stable computed form = 1630.7 meV per atom
1.0
-3.192 -2.548 -2.046
2.989 -1.121 -3.267
1.320 -3.622 2.451
Ni Se K
3 1 1
Direct
0.000 0.500 0.000
0.500 0.000 0.000
0.000 0.000 0.500
0.500 0.500 0.500
0.000 0.000 0.000



Record 6
PBE-GGA K2Ni2Se, relaxed; SG = I4/mmm, No. 139; E_form (uncorrected) = 0.062 eV/atom; E_tot = -3.386 eV per atom; offset from the most stable computed form = 0.0 meV per atom
1.0
-2.824 -0.385 -1.810
1.799 -1.347 -2.519
-1.843 -10.265 1.910
K Ni Se
2 2 1
Direct
0.608 0.608 0.785
0.392 0.392 0.215
0.250 0.750 0.500
0.750 0.250 0.500
0.000 0.000 0.000



Record 7
PBE-GGA KNiSe3, relaxed; SG = Pnma, No. 62; E_form (uncorrected) = -0.302 eV/atom; E_tot = -3.769 eV per atom; offset from the most stable computed form = 0.0 meV per atom
1.0
6.328 0.000 0.000
0.000 6.753 0.000
0.000 0.000 10.485
K Se Ni
4 12 4
Direct
0.383 0.388 0.750
0.883 0.112 0.750
0.617 0.612 0.250
0.117 0.888 0.250
0.827 0.806 0.972
0.360 0.897 0.750
0.173 0.194 0.472
0.640 0.103 0.250
0.827 0.806 0.528
0.173 0.194 0.028
0.673 0.306 0.472
0.327 0.694 0.972
0.140 0.397 0.250
0.860 0.603 0.750
0.327 0.694 0.528
0.673 0.306 0.028
0.500 0.000 0.500
0.500 0.000 0.000
0.000 0.500 0.000
0.000 0.500 0.500



Record 8
PBE-GGA KNiSe2, relaxed; SG = Cmmm, No. 65; E_form (uncorrected) = -0.351 eV/atom; E_tot = -3.813 eV per atom
1.0
4.532 -0.401 0.000
-2.806 3.582 0.000
0.000 0.000 8.071
K Se Ni
1 2 1
Direct
0.500 0.500 0.250
0.000 0.000 0.569
0.000 0.000 0.931
0.500 0.500 0.750



Record 9
PBE-GGA KNiSe2, relaxed; SG = I-42d, No. 122; E_form (uncorrected) = -0.547 eV/atom; E_tot = -4.009 eV per atom
1.0
7.408 0.000 0.000
0.000 7.408 0.000
3.704 3.704 3.732
K Se Ni
2 4 2
Direct
0.250 0.750 0.500
0.500 0.500 0.000
0.009 0.625 0.250
0.375 0.259 0.750
0.741 0.125 0.250
0.875 0.991 0.750
0.000 0.000 0.000
0.750 0.250 0.500



Record 10
PBE-GGA KNiSe2, relaxed; SG = C2/c, No. 15; E_form (uncorrected) = -0.577 eV/atom; E_tot = -4.039 eV per atom
1.0
-0.590 6.800 -1.764
-1.636 3.196 -6.149
-5.638 3.290 0.482
K Ni Se
2 2 4
Direct
0.881 0.250 0.239
0.119 0.750 0.761
0.752 0.750 0.495
0.248 0.250 0.505
0.227 0.584 0.259
0.486 0.084 0.741
0.514 0.916 0.259
0.773 0.416 0.741



Record 11
PBE-GGA KNiSe2, relaxed; SG = R3m, No. 160; E_form (uncorrected) = -0.493 eV/atom; E_tot = -3.955 eV per atom
1.0
3.763 0.000 0.000
1.882 3.259 0.000
1.881 1.086 7.418
Se Ni K
2 1 1
Direct
0.278 0.278 0.165
0.055 0.055 0.836
0.667 0.667 0.999
0.500 0.500 0.501



Record 12
PBE-GGA KNiSe2, relaxed; SG = P2/m, No. 10; E_form (uncorrected) = -0.580 eV/atom; E_tot = -4.042 eV per atom
1.0
3.705 0.000 0.000
0.000 4.999 -0.241
0.000 0.278 5.898
Se Ni K
2 1 1
Direct
0.000 0.750 0.511
0.000 0.750 0.989
0.500 0.750 0.750
0.500 0.250 0.250